Record 1
A plane-wave DFT calculation with PBE-GGA was carried out for CaPtPb2O6 after structural relaxation.

Calculated values
Energy relative to the elements, uncorrected = -1.2584 eV/atom
Raw total energy = -115.58 eV per cell

a b c (Å): 5.6952 6.0332 8.2735
angles (deg): 90.00 89.40 90.00
With the nearest neighbours (Å) after each atom.
Fractional positions:
Pb 0.9884 0.0445 0.7346  5 O 2.37-2.57
Ca 0.0000 0.5000 0.5000  6 O 2.30-2.40
O 0.2931 0.6752 0.0366  1 Pt 2.00
O 0.1810 0.2334 0.0780  1 Pt 2.02
O 0.7931 0.8248 0.5366  1 Pt 2.00
Pt 0.0000 0.5000 0.0000  6 O 2.00-2.02
O 0.2069 0.1752 0.4634  1 Pt 2.00
Pb 0.0116 0.9555 0.2654  5 O 2.37-2.57
O 0.8190 0.7666 0.9220  1 Pt 2.02
Ca 0.5000 0.0000 0.0000  6 O 2.30-2.40
Pb 0.5116 0.5445 0.7654  5 O 2.37-2.57
O 0.1130 0.4309 0.7743  1 Pt 2.01
O 0.3870 0.9309 0.7257  1 Pt 2.01
O 0.6810 0.2666 0.5780  1 Pt 2.02
Pt 0.5000 0.0000 0.5000  6 O 2.00-2.02
Pb 0.4884 0.4555 0.2346  5 O 2.37-2.57
O 0.7069 0.3248 0.9634  1 Pt 2.00
O 0.3190 0.7334 0.4220  1 Pt 2.02
O 0.8870 0.5691 0.2257  1 Pt 2.01
O 0.6130 0.0691 0.2743  1 Pt 2.01

---

Record 2
A plane-wave DFT calculation with PBE-GGA was carried out for NdPa2Rh3 after structural relaxation.

Calculated values
Raw total energy = -98.95 eV per cell
Formation energy from the elements = -3.66 eV per formula unit

a b c (Å): 5.3574 5.3514 10.5079
angles (deg): 90.00 90.00 120.04
With the nearest neighbours (Å) after each atom.
Fractional positions:
Nd 0.6660 0.3321 0.7500  5 Rh 2.86-3.09, 3 Pa 3.09
Pa 0.3327 0.6654 0.7500  2 Rh 2.40
Rh 0.3332 0.6664 0.9781  1 Pa 2.40
Pa 0.0000 0.0000 0.0000  2 Rh 2.63
Rh 0.0004 0.0008 0.2500  2 Pa 2.63
Nd 0.3340 0.6679 0.2500  5 Rh 2.86-3.09, 3 Pa 3.09
Pa 0.0000 0.0000 0.5000  2 Rh 2.63
Pa 0.6673 0.3346 0.2500  2 Rh 2.40
Rh 0.6668 0.3336 0.0219  1 Pa 2.40
Rh 0.9996 0.9992 0.7500  2 Pa 2.63
Rh 0.3332 0.6664 0.5219  1 Pa 2.40
Rh 0.6668 0.3336 0.4781  1 Pa 2.40

---

Record 3
A plane-wave DFT calculation with PBE-GGA was carried out for YTiS2 after structural relaxation.

Calculated values
Energy relative to the elements, uncorrected = -1.2522 eV/atom
Raw total energy = -55.25 eV per cell

a b c (Å): 5.7276 5.7276 7.1736
angles (deg): 66.47 66.47 90.00
With the nearest neighbours (Å) after each atom.
Fractional positions:
S 0.8750 0.8345 0.7500  2 Ti 2.38, 2 Y 2.65
Ti 0.5000 0.5000 0.0000  4 S 2.38
S 0.5845 0.1250 0.2500  2 Ti 2.38, 2 Y 2.65
S 0.3750 0.4155 0.7500  2 Ti 2.38, 2 Y 2.65
S 0.1655 0.6250 0.2500  2 Ti 2.38, 2 Y 2.65
Ti 0.2500 0.7500 0.5000  4 S 2.38
Y 0.0000 0.0000 0.0000  4 S 2.65
Y 0.7500 0.2500 0.5000  4 S 2.65

---

Record 4
A plane-wave DFT calculation with PBE-GGA was carried out for Ce4Ga5Ag3 after structural relaxation.

Calculated values
Raw total energy = -50.04 eV per cell
Formation energy from the elements = -2.61 eV per formula unit

a b c (Å): 4.6309 7.7539 9.0644
angles (deg): 75.94 75.20 72.63
With the nearest neighbours (Å) after each atom.
Fractional positions:
Ga 0.2668 0.4278 0.0385  3 Ga 2.47-2.59
Ag 0.3157 0.9605 0.4081  1 Ga 2.66, 2 Ag 2.94
Ga 0.5000 0.5000 0.5000  2 Ag 2.32
Ag 0.0000 0.5000 0.5000  2 Ga 2.32
Ce 0.0156 0.7871 0.1817  5 Ga 3.14-3.42, 3 Ag 3.19-3.44
Ga 0.5965 0.9115 0.8955  2 Ga 2.44-2.47, 1 Ag 2.66
Ag 0.6843 0.0395 0.5919  1 Ga 2.66, 2 Ag 2.94
Ga 0.4035 0.0885 0.1045  2 Ga 2.44-2.47, 1 Ag 2.66
Ce 0.9844 0.2129 0.8183  5 Ga 3.14-3.42, 3 Ag 3.19-3.44
Ce 0.2666 0.7300 0.7369  6 Ga 2.91-3.14, 1 Ag 3.07
Ce 0.7334 0.2700 0.2631  6 Ga 2.91-3.14, 1 Ag 3.07
Ga 0.7332 0.5722 0.9615  3 Ga 2.47-2.59

---

Record 5
A plane-wave DFT calculation with PBE-GGA was carried out for RbCa2Ag2 after structural relaxation.

Calculated values
Raw total energy = -10.50 eV per cell
Formation energy from the elements = 0.17 eV per formula unit

a b c (Å): 5.6412 5.6412 7.3652
angles (deg): 67.48 67.48 90.00
With the nearest neighbours (Å) after each atom.
Fractional positions:
Ca 0.6616 0.6616 0.6767  4 Ag 3.03
Ag 0.2500 0.7500 0.5000  4 Ca 3.03
Ca 0.3384 0.3384 0.3233  4 Ag 3.03
Rb 0.0000 0.0000 0.0000  8 Ag 4.19, 10 Ca 4.19-4.46
Ag 0.7500 0.2500 0.5000  4 Ca 3.03

---

Record 6
A plane-wave DFT calculation with PBE-GGA was carried out for CsTeSe2 after structural relaxation.

Calculated values
Energy relative to the elements, uncorrected = -0.1248 eV/atom
Raw total energy = -11.46 eV per cell

a b c (Å): 7.4846 7.4846 7.4846
angles (deg): 48.62 48.62 48.62
With the nearest neighbours (Å) after each atom.
Fractional positions:
Se 0.8677 0.8677 0.8677  1 Te 2.61
Te 0.0000 0.0000 0.0000  2 Se 2.61
Cs 0.5000 0.5000 0.5000  6 Se 3.62
Se 0.1323 0.1323 0.1323  1 Te 2.61

---

Record 7
A plane-wave DFT calculation with PBE-GGA was carried out for AcTb6Er2Tm3 after structural relaxation.

Calculated values
Raw total energy = -54.00 eV per cell
Formation energy from the elements = 0.43 eV per formula unit

a b c (Å): 6.1779 6.1779 11.8245
angles (deg): 94.99 94.99 119.98
With the nearest neighbours (Å) after each atom.
Fractional positions:
Ac 0.0000 0.0000 0.0000  6 Er 3.57, 6 Tb 3.63
Tb 0.7494 0.7494 0.2559  3 Tm 3.50-3.52, 6 Tb 3.55-3.60, 2 Er 3.62, 1 Ac 3.63
Tb 0.9140 0.5774 0.7445  3 Tm 3.50-3.52, 6 Tb 3.55-3.60, 2 Er 3.61, 1 Ac 3.63
Tb 0.4226 0.0860 0.2555  3 Tm 3.50-3.52, 6 Tb 3.55-3.60, 2 Er 3.61, 1 Ac 3.63
Tm 0.1672 0.8328 0.5000  6 Tb 3.50-3.52, 6 Tm 3.56-3.58
Er 0.3334 0.6666 0.0000  3 Er 3.56-3.57, 3 Ac 3.57, 6 Tb 3.61-3.62
Tm 0.5000 0.5000 0.5000  6 Tb 3.50-3.52, 6 Tm 3.56-3.57
Tm 0.8328 0.1672 0.5000  6 Tb 3.50-3.52, 6 Tm 3.56-3.58
Tb 0.5774 0.9140 0.7445  3 Tm 3.50-3.52, 6 Tb 3.55-3.60, 2 Er 3.61, 1 Ac 3.63
Er 0.6666 0.3334 0.0000  3 Er 3.56-3.57, 3 Ac 3.57, 6 Tb 3.61-3.62
Tb 0.2506 0.2506 0.7441  3 Tm 3.50-3.52, 6 Tb 3.55-3.60, 2 Er 3.62, 1 Ac 3.63
Tb 0.0860 0.4226 0.2555  3 Tm 3.50-3.52, 6 Tb 3.55-3.60, 2 Er 3.61, 1 Ac 3.63

---

Record 8
A plane-wave DFT calculation with PBE-GGA was carried out for YAg9Pb2 after structural relaxation.

Calculated values
Raw total energy = -39.79 eV per cell
Formation energy from the elements = -0.25 eV per formula unit

a b c (Å): 5.6520 5.6520 9.8445
angles (deg): 73.32 73.32 60.00
With the nearest neighbours (Å) after each atom.
Fractional positions:
Ag 0.3336 0.3336 0.9993  6 Ag 2.83
Pb 0.1415 0.1415 0.5756  12 Ag 3.26-3.44, 3 Pb 3.55
Ag 0.4159 0.9193 0.2488  7 Ag 2.81-2.85
Ag 0.5000 0.5000 0.5000  6 Ag 2.85
Ag 0.9193 0.4159 0.2488  7 Ag 2.81-2.85
Pb 0.8585 0.8585 0.4244  12 Ag 3.26-3.44, 3 Pb 3.55
Ag 0.5841 0.5841 0.7512  7 Ag 2.81-2.85
Y 0.0000 0.0000 0.0000  18 Ag 3.26-3.65
Ag 0.6664 0.6664 0.0007  6 Ag 2.83
Ag 0.4159 0.4159 0.2488  7 Ag 2.81-2.85
Ag 0.5841 0.0807 0.7512  7 Ag 2.81-2.85
Ag 0.0807 0.5841 0.7512  7 Ag 2.81-2.85